A plane-wave DFT calculation with GGA-PBE was carried out for Na3Li11 after structural relaxation.

For the calculated formation energy, the calculation gives 0.074 eV/atom. As for the total energy: -1.712 eV per atom.

CIF file:
```
data_Na3Li11
_symmetry_space_group_name_H-M 'I m m m'
_symmetry_Int_Tables_number 71
_symmetry_space_group_name_Hall '-I 2 2'
_cell_length_a 4.8499
_cell_length_b 11.5020
_cell_length_c 12.1664
_cell_angle_alpha 90.00
_cell_angle_beta 90.00
_cell_angle_gamma 90.00
loop_
_atom_site_label
_atom_site_type_symbol
_atom_site_fract_x
_atom_site_fract_y
_atom_site_fract_z
Na1 Na 0.0000 0.0000 0.0000
Na2 Na 0.0000 0.0000 0.2857
Li1 Li 0.0000 0.1536 0.5000
Li2 Li 0.0000 0.2783 0.1419
Li3 Li 0.0000 0.3688 0.3724
Li4 Li 0.0000 0.5000 0.0000
```